Compound: Ca2ReNi
Source: Alexandria via LeMat-Bulk
Functional: GGA-PBE
Structure: relaxed

Geometry as CIF:
```
data_Ca2ReNi
_symmetry_space_group_name_H-M 'I m m m'
_symmetry_Int_Tables_number 71
_symmetry_space_group_name_Hall '-I 2 2'
_cell_length_a 3.4779
_cell_length_b 4.8342
_cell_length_c 9.2331
_cell_angle_alpha 90.00
_cell_angle_beta 90.00
_cell_angle_gamma 90.00
loop_
_atom_site_label
_atom_site_type_symbol
_atom_site_fract_x
_atom_site_fract_y
_atom_site_fract_z
_atom_site_occupancy
Ca1 Ca 0.0000 0.0000 0.2210 1
Re1 Re 0.0000 0.5000 0.0000 1
Ni1 Ni 0.0000 0.5000 0.5000 1
```

Offset from the most stable computed form = 396 meV per atom
Calculated formation energy = 75.4 kJ per mole of atoms
VASP energy = -4.78 eV/atom
V = 77.6 Å³/f.u.